[1]
Computed, not measured: a relaxed structure of Ca2IO5 at the GGA-PBE level of DFT.

The structure in POSCAR format:
```
Ca2IO5
1.0
4.5589 0.0000 0.0000
2.2788 5.3466 0.0000
2.2708 1.5387 5.3989
Ca I O
2 1 5
direct
0.0000 0.0000 0.0000 Ca
0.4068 0.6864 0.5021 Ca
0.1806 0.3432 0.2510 I
0.1690 0.0969 0.5792 O
0.2503 0.5894 0.9229 O
0.4240 0.0382 0.1131 O
0.7708 0.3434 0.2507 O
0.9816 0.6481 0.3891 O
```

Computed properties:
- Crystal system: triclinic
- Raw formation energy: -1710 meV/atom
- M_tot: 0.33 Bohr magnetons per cell

=====

[2]
Computed, not measured: a relaxed structure of Ca2IO at the GGA-PBE level of DFT.

The structure in POSCAR format:
```
Ca2IO
1.0
6.4933 0.0000 0.0000
0.0000 6.4933 0.0000
0.0000 0.0000 10.9821
Ca I O
8 4 4
direct
0.1239 0.2500 0.1250 Ca
0.2500 0.6239 0.3750 Ca
0.2500 0.8761 0.8750 Ca
0.3761 0.2500 0.6250 Ca
0.6239 0.7500 0.6250 Ca
0.7500 0.1239 0.8750 Ca
0.7500 0.3761 0.3750 Ca
0.8761 0.7500 0.1250 Ca
0.0000 0.0000 0.5000 I
0.0000 0.5000 0.7500 I
0.5000 0.0000 0.2500 I
0.5000 0.5000 0.0000 I
0.0000 0.0000 0.0000 O
0.0000 0.5000 0.2500 O
0.5000 0.0000 0.7500 O
0.5000 0.5000 0.5000 O
```

Computed properties:
- Crystal system: tetragonal
- Raw formation energy: -1835 meV/atom
- Relative energy among the computed polymorphs: 0.000 eV/f.u.
- M_tot: 2.83 Bohr magnetons per cell

=====

[3]
Computed, not measured: a relaxed structure of CaI2O2 at the GGA-PBE level of DFT.

The structure in POSCAR format:
```
CaI2O2
1.0
6.3094 0.0000 0.0000
0.0000 6.3094 0.0000
0.0000 0.0000 4.1368
Ca I O
1 2 2
direct
0.0000 0.0000 0.0000 Ca
0.0000 0.5000 0.0000 I
0.5000 0.0000 0.0000 I
0.0000 0.0000 0.5000 O
0.5000 0.5000 0.5000 O
```

Computed properties:
- Crystal system: tetragonal
- Raw formation energy: 103 meV/atom
- Relative energy among the computed polymorphs: 2.873 eV/f.u.
- M_tot: 1.07 Bohr magnetons per cell

=====

[4]
Computed, not measured: a relaxed structure of Ca2IO at the GGA-PBE level of DFT.

The structure in POSCAR format:
```
Ca2IO
1.0
3.8053 0.0000 0.0000
-1.9026 3.2955 0.0000
0.0000 0.0000 22.0785
Ca I O
6 3 3
direct
0.0000 0.0000 0.2219 Ca
0.0000 0.0000 0.7781 Ca
0.3333 0.6667 0.4448 Ca
0.3333 0.6667 0.8886 Ca
0.6667 0.3333 0.1114 Ca
0.6667 0.3333 0.5552 Ca
0.0000 0.0000 0.0000 I
0.3333 0.6667 0.6667 I
0.6667 0.3333 0.3333 I
0.0000 0.0000 0.5000 O
0.3333 0.6667 0.1667 O
0.6667 0.3333 0.8333 O
```

Computed properties:
- Crystal system: trigonal
- Raw formation energy: -1750 meV/atom
- Relative energy among the computed polymorphs: 0.340 eV/f.u.
- M_tot: 2.55 Bohr magnetons per cell

=====

[5]
Computed, not measured: a relaxed structure of CaIO2 at the GGA-PBE level of DFT.

The structure in POSCAR format:
```
CaIO2
1.0
6.3511 0.0000 0.0000
0.0000 6.3511 0.0000
0.0000 0.0000 6.7796
Ca I O
4 4 8
direct
0.0000 0.0000 0.0000 Ca
0.0000 0.5000 0.2500 Ca
0.5000 0.0000 0.7500 Ca
0.5000 0.5000 0.5000 Ca
0.0000 0.0000 0.5000 I
0.0000 0.5000 0.7500 I
0.5000 0.0000 0.2500 I
0.5000 0.5000 0.0000 I
0.2357 0.2500 0.1250 O
0.2500 0.7357 0.3750 O
0.2500 0.7643 0.8750 O
0.2643 0.2500 0.6250 O
0.7357 0.7500 0.6250 O
0.7500 0.2357 0.8750 O
0.7500 0.2643 0.3750 O
0.7643 0.7500 0.1250 O
```

Computed properties:
- Crystal system: tetragonal
- Raw formation energy: -980 meV/atom
- Relative energy among the computed polymorphs: 2.381 eV/f.u.
- M_tot: 0.00 Bohr magnetons per cell

=====

[6]
Computed, not measured: a relaxed structure of Ca3I2O2 at the GGA-PBE level of DFT.

The structure in POSCAR format:
```
Ca3I2O2
1.0
11.4708 0.0000 0.0000
0.0000 3.6460 0.0000
-1.2135 0.0000 9.1199
Ca I O
6 4 4
direct
0.0000 0.0000 0.0000 Ca
0.2285 0.0000 0.8429 Ca
0.2715 0.5000 0.1571 Ca
0.5000 0.5000 0.0000 Ca
0.7285 0.5000 0.8429 Ca
0.7715 0.0000 0.1571 Ca
0.1137 0.0000 0.3301 I
0.3863 0.5000 0.6699 I
0.6137 0.5000 0.3301 I
0.8863 0.0000 0.6699 I
0.1382 0.5000 0.9514 O
0.3618 0.0000 0.0486 O
0.6382 0.0000 0.9514 O
0.8618 0.5000 0.0486 O
```

Computed properties:
- Crystal system: monoclinic
- Raw formation energy: -2215 meV/atom
- M_tot: 0.00 Bohr magnetons per cell

=====

[7]
Computed, not measured: a relaxed structure of Ca2IO5 at the GGA-PBE level of DFT.

The structure in POSCAR format:
```
Ca2IO5
1.0
2.0833 -5.7663 0.0000
2.0833 5.7663 0.0000
0.0000 0.0000 10.7846
Ca I O
4 2 10
direct
0.1443 0.8557 0.5688 Ca
0.1443 0.8557 0.9312 Ca
0.8557 0.1443 0.0688 Ca
0.8557 0.1443 0.4312 Ca
0.1642 0.8358 0.2500 I
0.8358 0.1642 0.7500 I
0.0480 0.9520 0.1239 O
0.0480 0.9520 0.3761 O
0.2823 0.7177 0.1063 O
0.2823 0.7177 0.3937 O
0.3022 0.6978 0.7500 O
0.6978 0.3022 0.2500 O
0.7177 0.2823 0.6063 O
0.7177 0.2823 0.8937 O
0.9520 0.0480 0.6239 O
0.9520 0.0480 0.8761 O
```

Computed properties:
- Crystal system: orthorhombic
- Raw formation energy: -1709 meV/atom
- M_tot: 0.00 Bohr magnetons per cell

=====

[8]
Computed, not measured: a relaxed structure of Ca6IO12 at the GGA-PBE level of DFT.

The structure in POSCAR format:
```
Ca6IO12
1.0
4.9514 2.8587 3.1384
-4.9514 2.8587 3.1384
0.0000 -5.7174 3.1384
Ca I O
6 1 12
direct
0.1667 0.6163 0.2626 Ca
0.2626 0.1667 0.6163 Ca
0.3837 0.7374 0.8333 Ca
0.6163 0.2626 0.1667 Ca
0.7374 0.8333 0.3837 Ca
0.8333 0.3837 0.7374 Ca
0.0000 0.0000 0.0000 I
0.0221 0.7099 0.9385 O
0.0615 0.9779 0.2901 O
0.1247 0.4790 0.5594 O
0.2901 0.0615 0.9779 O
0.4406 0.8753 0.5210 O
0.4790 0.5594 0.1247 O
0.5210 0.4406 0.8753 O
0.5594 0.1247 0.4790 O
0.7099 0.9385 0.0221 O
0.8753 0.5210 0.4406 O
0.9385 0.0221 0.7099 O
0.9779 0.2901 0.0615 O
```

Computed properties:
- Crystal system: trigonal
- Raw formation energy: -1907 meV/atom
- M_tot: 1.00 Bohr magnetons per cell